DFT (PBE) results for a geometry-optimized SbI2Br6 structure.

Values from the calculation:
space group: C2/c, No. 15
V: 866.3 Å³/cell
E_form (uncorrected): -0.26 eV/atom
magnetization: 0.00 μB per cell

a b c (Å): 11.1160 11.1160 7.1701
angles (deg): 98.04 98.04 84.75
With the nearest neighbours (Å) after each atom.
Fractional coordinates of all 18 atoms:
Sb  0.2225  0.7775  0.7500  2 Br 2.52
Sb  0.7775  0.2225  0.2500  2 Br 2.52
I  0.2689  0.4507  0.4010  2 Br 2.62-2.76
I  0.4507  0.2689  0.9010  2 Br 2.62-2.76
I  0.5493  0.7311  0.0990  2 Br 2.62-2.76
I  0.7311  0.5493  0.5990  2 Br 2.62-2.76
Br  0.0298  0.8026  0.9048  1 Sb 2.52
Br  0.0963  0.6461  0.4159  1 I 2.76, 1 Sb 2.88
Br  0.1974  0.9702  0.5952  1 Sb 2.52
Br  0.2671  0.4348  0.8953  1 I 2.62
Br  0.3539  0.9037  0.0841  1 I 2.76, 1 Sb 2.88
Br  0.4348  0.2671  0.3953  1 I 2.62
Br  0.5652  0.7329  0.6047  1 I 2.62
Br  0.6461  0.0963  0.9159  1 I 2.76, 1 Sb 2.88
Br  0.7329  0.5652  0.1047  1 I 2.62
Br  0.8026  0.0298  0.4048  1 Sb 2.52
Br  0.9037  0.3539  0.5841  1 I 2.76, 1 Sb 2.88
Br  0.9702  0.1974  0.0952  1 Sb 2.52